[1]
Compound: LiNiMo
Source: the Alexandria database
Functional: PBE-GGA
Structure: relaxed

## Properties
- DFT formation energy (kJ per mole of atoms) = 88
- total moment (μB/atom) = 0.0000
- N(E_F) (states/eV/cell) = 1.618

a b c (Å): 3.9868 3.9868 3.9868
angles (deg): 60.00 60.00 60.00
Positions (direct):
Ni 0.0000 0.0000 0.0000
Li 0.5000 0.5000 0.5000
Mo 0.7500 0.7500 0.7500

=====

[2]
Compound: LiNi2Mo2
Source: the Alexandria database
Functional: PBE-GGA
Structure: relaxed

## Properties
- DFT formation energy (kJ per mole of atoms) = 17
- total moment (μB/atom) = 0.0000
- N(E_F) (states/eV/cell) = 10.965

a b c (Å): 7.5385 7.5385 2.5689
angles (deg): 90.00 90.00 90.00
Positions (direct):
Ni 0.8295 0.3295 0.5000
Ni 0.1705 0.6705 0.5000
Ni 0.6705 0.8295 0.5000
Ni 0.3295 0.1705 0.5000
Mo 0.3760 0.8760 0.0000
Mo 0.8760 0.6240 0.0000
Mo 0.6240 0.1240 0.0000
Mo 0.1240 0.3760 0.0000
Li 0.0000 0.0000 0.0000
Li 0.5000 0.5000 0.0000

=====

Computed theoretical density, in the same sequence as the records: 6.0, 7.2 g cm⁻³.
Computed distance to the lowest polymorph of the same formula, in the same sequence as the records: 715.3, 0.0 meV/atom.